# 1
# La6ZnPt3

La6ZnPt3 after structural relaxation (PBE, Alexandria).

Formation energy from the elements: -0.732 eV/atom

Structure (POSCAR):
```
La6ZnPt3
1.0
11.2782 0.0000 0.0000
0.0000 4.2087 0.0000
-4.8563 0.0000 12.5793
La Zn Pt
12 2 6
Cartesian
-1.6302 1.0522 4.8861
-3.6178 1.0522 11.4382
1.1769 3.1566 3.8808
-0.1764 3.1566 10.0420
3.4825 3.1566 1.1502
1.5286 1.0522 7.1181
4.8934 3.1566 5.4612
2.9394 1.0522 11.4291
6.5984 1.0522 2.5373
5.2451 1.0522 8.6985
10.0398 3.1566 1.1411
8.0522 3.1566 7.6932
3.4739 1.0522 3.5987
2.9481 3.1566 8.9806
0.8924 1.0522 1.8000
-0.4875 3.1566 6.7111
-0.2268 1.0522 12.0200
6.6488 3.1566 0.5593
6.9095 1.0522 5.8682
5.5295 3.1566 10.7793
```

---

# 2
# CdSn

CdSn after structural relaxation (PBE, Alexandria).

Formation energy from the elements: 0.099 eV/atom

Structure (POSCAR):
```
CdSn
1.0
3.7237 0.0000 0.0000
0.0000 3.7237 0.0000
0.0000 0.0000 3.7237
Cd Sn
1 1
Cartesian
0.0000 0.0000 0.0000
1.8619 1.8619 1.8619
```